Material: HgMoAu3
Method: DFT, PBE
State: optimized geometry

Summary:
The energy is -3.14 eV per atom. The formation energy comes out at 1.058 eV per atom. The volume is 26.5 A^3/atom. Its crystal system is cubic. The calculation puts the relative energy among the computed polymorphs at 0.0 meV/atom. The symmetry is Pm-3m (221).

a b c (Å): 5.098 5.098 5.098
angles (deg): 90.00 90.00 90.00
Atoms (fractional coordinates):
1 Mo 0.000 0.000 0.000
2 Au 0.000 0.500 0.000
3 Au 0.000 0.000 0.500
4 Au 0.500 0.000 0.000
5 Hg 0.500 0.500 0.500

Material: LaErTh2
Method: DFT, PBE
State: optimized geometry

Summary:
The energy is -6.04 eV per atom. The formation energy comes out at 0.044 eV per atom. The volume is 32.7 A^3/atom. Its crystal system is trigonal. The calculation puts the relative energy among the computed polymorphs at 17.1 meV/atom. The symmetry is R3m (160).

a b c (Å): 3.579 3.579 11.962
angles (deg): 81.40 81.40 60.00
Atoms (fractional coordinates):
1 La 0.498 0.498 0.505
2 Er 0.668 0.668 0.996
3 Th 0.082 0.082 0.755
4 Th 0.252 0.252 0.244

Material: Li2ZrS2
Method: DFT, PBE
State: optimized geometry

Summary:
The energy is -5.26 eV per atom. The volume is 17.0 A^3/atom. Its crystal system is tetragonal. As for the formation energy without anion corrections: -1.130 eV/atom. The symmetry is P4/mbm (127).

a b c (Å): 6.932 6.932 3.547
angles (deg): 90.00 90.00 90.00
Atoms (fractional coordinates):
1 S 0.324 0.824 0.000
2 S 0.824 0.676 0.000
3 S 0.676 0.176 0.000
4 S 0.176 0.324 0.000
5 Zr 0.000 0.000 0.000
6 Zr 0.500 0.500 0.000
7 Li 0.141 0.641 0.500
8 Li 0.641 0.859 0.500
9 Li 0.859 0.359 0.500
10 Li 0.359 0.141 0.500

Material: CsK2Cd2As2
Method: DFT, PBE
State: optimized geometry

Summary:
The energy is -2.37 eV per atom. The formation energy comes out at -0.344 eV per atom. The volume is 40.0 A^3/atom. Its crystal system is trigonal. The symmetry is R-3m (166).

a b c (Å): 4.633 4.633 15.295
angles (deg): 81.29 81.29 60.00
Atoms (fractional coordinates):
1 Cs 0.000 0.000 0.000
2 K 0.121 0.121 0.638
3 K 0.879 0.879 0.362
4 Cd 0.601 0.601 0.197
5 Cd 0.399 0.399 0.803
6 As 0.732 0.732 0.805
7 As 0.268 0.268 0.195

Material: Rb2Cu2AgF7
Method: DFT, PBE
State: optimized geometry

Summary:
The energy is -4.03 eV per atom. The volume is 15.3 A^3/atom. Its crystal system is tetragonal. As for the formation energy without anion corrections: -1.855 eV/atom. The symmetry is I4/mmm (139).

a b c (Å): 4.123 4.123 11.212
angles (deg): 79.39 79.39 90.00
Last column: magnetic moment on the atom in μB.
Atoms (fractional coordinates):
1 Rb 0.817 0.817 0.365  0.00
2 Rb 0.183 0.183 0.635  0.00
3 Cu 0.592 0.592 0.818  0.70
4 Cu 0.408 0.408 0.182  0.70
5 Ag 0.000 0.000 0.000  0.00
6 F 0.500 0.500 0.000  0.09
7 F 0.315 0.315 0.370  0.05
8 F 0.685 0.685 0.630  0.05
9 F 0.911 0.411 0.177  0.08
10 F 0.411 0.911 0.177  0.08
11 F 0.589 0.089 0.823  0.08
12 F 0.089 0.589 0.823  0.08

Material: LaTeP2Cl
Method: DFT, PBE
State: optimized geometry

Summary:
The energy is -4.24 eV per atom. The volume is 26.8 A^3/atom. Its crystal system is tetragonal. The calculation puts the relative energy among the computed polymorphs at 0.0 meV/atom. As for the formation energy without anion corrections: -0.096 eV/atom. The symmetry is P4/mmm (123).

a b c (Å): 5.148 5.148 5.063
angles (deg): 90.00 90.00 90.00
Atoms (fractional coordinates):
1 Cl 0.000 0.000 0.500
2 Te 0.000 0.000 0.000
3 P 0.000 0.500 0.000
4 P 0.500 0.000 0.000
5 La 0.500 0.500 0.500